# CaCo2PtF

A relaxed structure of CaCo2PtF (GGA+U, the Alexandria database).

Cell lengths 4.968, 3.964, 4.968 Å; angles 90.00, 90.00, 90.00 degrees
Site moments in Bohr magnetons follow the coordinates.
Fractional positions:
Pt1 0.500 0.500 0.500  0.00
F1 0.000 0.500 0.000  0.00
Co1 0.500 0.000 0.000  1.98
Co2 0.000 0.000 0.500  2.04
Ca1 0.000 0.000 0.000  -0.07

Calculated values
**N(E_F)**: 2.03 states/eV per cell
**Volume**: 97.8 Å³/cell
**Space-group type**: P4/mmm
**Energy**: -3.56 eV/atom